KSiSb2 | GGA-PBE | relaxed

Values from the calculation:
M_tot = 0.000 μB/atom
uncorrected formation energy = 0.09 eV/atom
ρ = 4.26 g/cm³
crystal system = tetragonal
volume = 30.263 Å³ per atom

a = 4.091 Å, b = 4.091 Å, c = 7.233 Å
α = 90.00°, β = 90.00°, γ = 90.00°
Space group P4mm (No. 99)
Unique sites:
1 K 0.000 0.000 0.000
2 Si 0.500 0.500 0.673
3 Sb 0.000 0.000 0.527
4 Sb 0.500 0.500 0.320

CsNpIn2Cl6 | GGA-PBE | relaxed

Values from the calculation:
M_tot = 0.400 μB/atom
uncorrected formation energy = -1.43 eV/atom
ρ = 3.49 g/cm³
crystal system = triclinic
volume = 38.607 Å³ per atom

a = 7.992 Å, b = 8.006 Å, c = 8.352 Å
α = 90.03°, β = 118.58°, γ = 119.94°
Space group P1 (No. 1)
Unique sites:
1 Cs 0.000 0.000 0.000
2 Np 0.969 0.484 0.453
3 In 0.570 0.285 0.854
4 In 0.587 0.793 0.379
5 Cl 0.069 0.427 0.190
6 Cl 0.074 0.247 0.657
7 Cl 0.410 0.826 0.656
8 Cl 0.548 0.122 0.189
9 Cl 0.762 0.641 0.189
10 Cl 0.830 0.584 0.656

Ce2HoEr | GGA-PBE | relaxed

Values from the calculation:
M_tot = 0.372 μB/atom
ρ = 8.46 g/cm³
formation energy from the elements = 104 meV per atom
polymorph energy (0 for the lowest one) = 8 kJ/mol of formula units
crystal system = tetragonal
volume = 30.041 Å³ per atom

a = 3.460 Å, b = 3.460 Å, c = 10.035 Å
α = 90.00°, β = 90.00°, γ = 90.00°
Space group P4/mmm (No. 123)
Unique sites:
1 Ce 0.000 0.000 0.249
2 Ho 0.500 0.500 0.500
3 Er 0.500 0.500 0.000

DyY2Pu | GGA-PBE | relaxed

Values from the calculation:
M_tot = 1.577 μB/atom
ρ = 7.83 g/cm³
formation energy from the elements = 152 meV per atom
polymorph energy (0 for the lowest one) = 20 kJ/mol of formula units
crystal system = tetragonal
volume = 30.998 Å³ per atom

a = 4.976 Å, b = 4.976 Å, c = 5.007 Å
α = 90.00°, β = 90.00°, γ = 90.00°
Space group P4/mmm (No. 123)
Unique sites:
1 Dy 0.000 0.000 0.000
2 Y 0.000 0.500 0.500
3 Pu 0.500 0.500 0.000

Dy5Fe2Au | GGA-PBE | relaxed

Values from the calculation:
M_tot = 0.175 μB/atom
ρ = 9.81 g/cm³
formation energy from the elements = -246 meV per atom
crystal system = tetragonal
volume = 23.714 Å³ per atom

a = 7.295 Å, b = 7.295 Å, c = 14.258 Å
α = 90.00°, β = 90.00°, γ = 90.00°
Space group I4/mcm (No. 140)
Unique sites:
1 Dy 0.000 0.000 0.000
2 Dy 0.175 0.325 0.139
3 Fe 0.108 0.392 0.500
4 Au 0.000 0.000 0.250

BaZnNi2H8 | GGA-PBE | relaxed

Values from the calculation:
M_tot = 0.000 μB/atom
ρ = 4.77 g/cm³
calculated total energy = -0.25546 Ry per atom
crystal system = trigonal
volume = 9.525 Å³ per atom

a = 4.5066 Å, b = 4.5066 Å, c = 6.4984 Å
α = 90.00°, β = 90.00°, γ = 120.00°
Space group P-3 (No. 147)
Unique sites:
1 Ba 0.0000 0.0000 0.0000
2 Zn 0.0000 0.0000 0.5000
3 Ni 0.3333 0.6667 0.5904
4 H 0.0362 0.6667 0.3602
5 H 0.3333 0.6667 0.8379

KHg2BiC | GGA-PBE | relaxed

Values from the calculation:
M_tot = 0.000 μB/atom
ρ = 6.04 g/cm³
formation energy from the elements = 890 meV per atom
crystal system = tetragonal
volume = 36.335 Å³ per atom

a = 6.334 Å, b = 6.334 Å, c = 4.528 Å
α = 90.00°, β = 90.00°, γ = 90.00°
Space group P4/mmm (No. 123)
Unique sites:
1 K 0.000 0.000 0.000
2 Hg 0.000 0.500 0.500
3 Bi 0.500 0.500 0.500
4 C 0.500 0.500 0.000

K3AcSb2Se6 | GGA-PBE | relaxed

Values from the calculation:
M_tot = 0.000 μB/atom
uncorrected formation energy = -1.06 eV/atom
ρ = 4.62 g/cm³
crystal system = monoclinic
volume = 31.829 Å³ per atom

a = 7.546 Å, b = 13.078 Å, c = 8.143 Å
α = 90.00°, β = 108.08°, γ = 90.00°
Space group C2/m (No. 12)
Unique sites:
1 K 0.000 0.000 0.000
2 K 0.000 0.334 0.000
3 Ac 0.000 0.500 0.500
4 Sb 0.000 0.167 0.500
5 Se 0.220 0.000 0.711
6 Se 0.245 0.325 0.710

Cs3BeAs2 | GGA-PBE | relaxed

Values from the calculation:
M_tot = 0.176 μB/atom
ρ = 3.55 g/cm³
formation energy from the elements = -270 meV per atom
polymorph energy (0 for the lowest one) = 0 kJ/mol of formula units
crystal system = monoclinic
volume = 43.418 Å³ per atom

a = 11.098 Å, b = 10.012 Å, c = 10.022 Å
α = 90.00°, β = 110.64°, γ = 90.00°
Space group C2/c (No. 15)
Unique sites:
1 Cs 0.000 0.160 0.250
2 Cs 0.197 0.459 0.981
3 Be 0.000 0.212 0.750
4 As 0.138 0.219 0.655

BeAlPb2 | GGA-PBE | relaxed

Values from the calculation:
M_tot = 0.000 μB/atom
ρ = 8.12 g/cm³
formation energy from the elements = 369 meV per atom
polymorph energy (0 for the lowest one) = 21 kJ/mol of formula units
crystal system = monoclinic
volume = 23.018 Å³ per atom

a = 4.305 Å, b = 4.033 Å, c = 5.713 Å
α = 90.00°, β = 111.82°, γ = 90.00°
Space group Pm (No. 6)
Unique sites:
1 Be 0.000 0.000 0.000
2 Al 0.109 0.500 0.255
3 Pb 0.402 0.500 0.842
4 Pb 0.703 0.000 0.443

Li4HoPa3Se8 | GGA-PBE | relaxed

Values from the calculation:
M_tot = 0.344 μB/atom
uncorrected formation energy = -1.36 eV/atom
ρ = 6.81 g/cm³
crystal system = trigonal
volume = 23.118 Å³ per atom

a = 7.9978 Å, b = 7.9978 Å, c = 20.0317 Å
α = 90.00°, β = 90.00°, γ = 120.00°
Space group R-3m (No. 166, hexagonal axes)
Unique sites:
1 Li 0.0000 0.0000 0.0000
2 Li 0.0000 0.5000 0.0000
3 Ho 0.0000 0.0000 0.5000
4 Pa 0.0000 0.5000 0.5000
5 Se 0.0000 0.0000 0.2556
6 Se 0.0033 0.5016 0.2535